The following is a GGA-PBE calculation of NaVTe2 after structural relaxation, from the Alexandria database.

Computed properties:
Its density of states at the Fermi level is 4.67 states/eV/f.u. The calculation puts the raw formation energy at -49.6 kJ per mole of atoms. As for the space group: R3m. As for the total energy: -4.69 eV/atom. The calculation puts the total magnetization at 2.03 Bohr magnetons per cell.

```
NaVTe2
1.0
4.040 0.000 0.000
2.020 3.498 0.000
2.020 1.166 7.619
Na V Te
1 1 2
Cartesian
4.040 2.332 3.803
4.040 2.332 0.003
2.020 1.166 6.085
2.020 1.166 1.538
```